Density functional theory data (PBE) for a relaxed PmThTeRu crystal.

D(E_F): 0.712 states/eV/atom
Crystal system: trigonal
Total magnetic moment: 0.00 μB per formula unit
Uncorrected formation energy: -797.9 meV per atom

a = 4.1638 Å, b = 4.1638 Å, c = 22.8479 Å
α = 90.00°, β = 90.00°, γ = 120.00°
Space group R3m (No. 160, hexagonal axes)
Symmetry-distinct sites (fractional):
1 Pm 0.0000 0.0000 0.0000 [3 per cell]
2 Th 0.0000 0.0000 0.8028 [3 per cell]
3 Te 0.0000 0.0000 0.2372 [3 per cell]
4 Ru 0.0000 0.0000 0.4090 [3 per cell]


Density functional theory data (PBE) for a relaxed CaMnReOs2 crystal.

D(E_F): 0.963 states/eV/atom
Energy of formation from the pure elements: 1.15 eV per atom
Crystal system: tetragonal
Total magnetic moment: 3.12 μB per formula unit

a = 4.7810 Å, b = 4.7810 Å, c = 4.6937 Å
α = 90.00°, β = 90.00°, γ = 90.00°
Space group P4/mmm (No. 123)
Symmetry-distinct sites (fractional):
1 Ca 0.0000 0.0000 0.0000 [1 per cell]
2 Mn 0.5000 0.5000 0.0000 [1 per cell]
3 Re 0.5000 0.5000 0.5000 [1 per cell]
4 Os 0.0000 0.5000 0.5000 [2 per cell]